Compound: La6SmNi3
Source: Alexandria
Functional: PBE-GGA
Structure: relaxed

a = 7.3668 Å, b = 8.8824 Å, c = 8.8824 Å
α = 99.53°, β = 90.00°, γ = 90.00°
Positions (direct):
Ni 0.9682 0.7104 0.9010
Ni 0.3740 0.4208 0.5792
Ni 0.8740 0.5792 0.4208
Ni 0.9682 0.0990 0.2896
Ni 0.4682 0.2896 0.0990
Ni 0.4682 0.9010 0.7104
La 0.1773 0.7086 0.6235
La 0.1524 0.0359 0.9641
La 0.6773 0.6235 0.7086
La 0.8149 0.4134 0.0315
La 0.1773 0.3765 0.2914
La 0.6524 0.9641 0.0359
La 0.6773 0.2914 0.3765
La 0.4951 0.2248 0.7752
La 0.3149 0.5866 0.9685
La 0.8149 0.9685 0.5866
La 0.9951 0.7752 0.2248
La 0.3149 0.0315 0.4134
Sm 0.5431 0.6710 0.3290
Sm 0.0431 0.3290 0.6710

Properties
As for the formation energy: -0.1710 eV per atom.



Compound: SrSbF
Source: Alexandria
Functional: PBE-GGA
Structure: relaxed

a = 4.4492 Å, b = 8.7987 Å, c = 9.0001 Å
α = 62.12°, β = 90.00°, γ = 90.00°
Positions (direct):
F 0.2500 0.6246 0.4996
F 0.7500 0.3754 0.5004
F 0.2500 0.1246 0.4996
F 0.7500 0.8754 0.5004
Sb 0.7500 0.6151 0.9995
Sb 0.2500 0.3849 0.0005
Sb 0.7500 0.1151 0.9995
Sb 0.2500 0.8849 0.0005
Sr 0.2500 0.2957 0.6651
Sr 0.2500 0.7957 0.6651
Sr 0.7500 0.2043 0.3349
Sr 0.7500 0.7043 0.3349

Properties
The value obtained for the total DFT energy (no corrections) is -57.8 eV/cell.



Compound: PrGdC2
Source: Alexandria
Functional: PBE-GGA
Structure: relaxed

a = 3.7269 Å, b = 3.7269 Å, c = 6.4515 Å
α = 73.21°, β = 73.21°, γ = 60.00°
Positions (direct):
Pr 0.5000 0.5000 0.5000
C 0.2547 0.2547 0.2359
C 0.7453 0.7453 0.7641
Gd 0.0000 0.0000 0.0000

Properties
As for the formation energy: 0.2661 eV per atom.



Compound: Ti2Al6Cu
Source: Alexandria
Functional: PBE-GGA
Structure: relaxed

a = 2.9798 Å, b = 7.2309 Å, c = 7.7089 Å
α = 117.97°, β = 90.01°, γ = 90.00°
Positions (direct):
Ti 0.4999 0.6891 0.3782
Ti 0.5001 0.3109 0.6218
Al 0.0002 0.6578 0.6817
Al 0.5000 0.6921 0.0000
Al 0.0002 0.0239 0.6817
Al 0.5000 0.3079 0.0000
Al 0.9998 0.9761 0.3183
Al 0.9998 0.3422 0.3183
Cu 0.0000 0.0000 0.0000

Properties
As for the formation energy: -0.1903 eV per atom.



Compound: Ac2Al5Au4
Source: Alexandria
Functional: PBE-GGA
Structure: relaxed

a = 5.9211 Å, b = 5.9129 Å, c = 8.4952 Å
α = 79.95°, β = 69.60°, γ = 59.95°
Positions (direct):
Ac 0.8679 0.0000 0.2642
Ac 0.1321 0.0000 0.7358
Al 0.0000 0.5000 0.0000
Al 0.5000 0.0000 0.0000
Al 0.2500 0.5000 0.5000
Al 0.7500 0.5000 0.5000
Al 0.5000 0.5000 0.0000
Au 0.7853 0.6986 0.7308
Au 0.2147 0.3014 0.2692
Au 0.5161 0.6986 0.2692
Au 0.4839 0.3014 0.7308

Properties
As for the formation energy: -0.6041 eV per atom.



Compound: KAc2Sn
Source: Alexandria
Functional: PBE-GGA
Structure: relaxed

a = 4.2663 Å, b = 4.2663 Å, c = 10.2234 Å
α = 90.00°, β = 90.00°, γ = 90.00°
Positions (direct):
Sn 0.5000 0.5000 0.0000
Ac 0.0000 0.0000 0.8326
Ac 0.0000 0.0000 0.1674
K 0.5000 0.5000 0.5000

Properties
As for the formation energy: -0.1511 eV per atom.



Compound: Tb4TcBi
Source: Alexandria
Functional: PBE-GGA
Structure: relaxed

a = 6.2488 Å, b = 8.7352 Å, c = 8.1306 Å
α = 114.48°, β = 102.27°, γ = 108.64°
Positions (direct):
Tb 0.0564 0.2038 0.8582
Tb 0.6206 0.0577 0.3334
Tb 0.3018 0.6544 0.8582
Tb 0.2128 0.2757 0.3334
Tb 0.9436 0.7962 0.1418
Tb 0.6982 0.3456 0.1418
Tb 0.3794 0.9423 0.6666
Tb 0.7872 0.7243 0.6666
Tc 0.2510 0.0010 0.0019
Tc 0.7490 0.9990 0.9981
Bi 0.3775 0.6275 0.2550
Bi 0.6225 0.3725 0.7450

Properties
As for the formation energy: -0.3748 eV per atom.



no.,Fermi-level density of states (states/eV/cell)
1,23.201
2,2.660
3,6.755
4,6.352
5,4.527
6,4.191
7,10.595